# 1
The following is a PBE calculation of a relaxed Ac2TbSm5 crystal, from Alexandria via LeMat-Bulk.

The calculated volume is 578.2 Å³ per cell. As for the energy of formation from the pure elements: 0.04 eV per atom. For the energy, the calculation gives -4.515 eV per atom. The value obtained for the density of states at the Fermi level is 26.4 states/eV per cell.

Structure (CIF):
```
data_Ac2TbSm5
_chemical_formula_sum 'Ac4 Tb2 Sm10'
_symmetry_space_group_name_H-M 'I 4/m m m'
_symmetry_Int_Tables_number 139
_symmetry_space_group_name_Hall '-I 4 2'
_cell_length_a 5.2779
_cell_length_b 5.2779
_cell_length_c 20.7577
_cell_angle_alpha 90.00
_cell_angle_beta 90.00
_cell_angle_gamma 90.00
loop_
_atom_site_label
_atom_site_type_symbol
_atom_site_fract_x
_atom_site_fract_y
_atom_site_fract_z
_atom_site_occupancy
Ac1 Ac 0.0000 0.0000 0.2499 1
Tb1 Tb 0.0000 0.0000 0.0000 1
Sm1 Sm 0.0000 0.0000 0.5000 1
Sm2 Sm 0.0000 0.5000 0.1187 1
```

# 2
The following is a PBE calculation of a relaxed Zr2Sc crystal, from Alexandria via LeMat-Bulk.

The calculated volume is 140.0 Å³ per cell. As for the energy of formation from the pure elements: 0.02 eV per atom. For the energy, the calculation gives -7.791 eV per atom. The value obtained for the density of states at the Fermi level is 8.0 states/eV per cell.

Structure (CIF):
```
data_Zr2Sc
_chemical_formula_sum 'Zr4 Sc2'
_symmetry_space_group_name_H-M 'I m m m'
_symmetry_Int_Tables_number 71
_symmetry_space_group_name_Hall '-I 2 2'
_cell_length_a 3.2338
_cell_length_b 4.4672
_cell_length_c 9.6879
_cell_angle_alpha 90.00
_cell_angle_beta 90.00
_cell_angle_gamma 90.00
loop_
_atom_site_label
_atom_site_type_symbol
_atom_site_fract_x
_atom_site_fract_y
_atom_site_fract_z
_atom_site_occupancy
Zr1 Zr 0.0000 0.0000 0.1693 1
Sc1 Sc 0.0000 0.0000 0.5000 1
```

# 3
The following is a PBE calculation of a relaxed GaAgN2 crystal, from Alexandria via LeMat-Bulk.

The calculated volume is 176.7 Å³ per cell. The uncorrected formation energy is 1127 meV/atom. For the energy, the calculation gives -4.505 eV per atom. The value obtained for the density of states at the Fermi level is 5.1 states/eV per cell.

Structure (CIF):
```
data_GaAgN2
_chemical_formula_sum 'Ga3 Ag3 N6'
_symmetry_space_group_name_H-M 'R -3 m'
_symmetry_Int_Tables_number 166
_symmetry_space_group_name_Hall '-R 3 2"'
_cell_length_a 3.4566
_cell_length_b 3.4566
_cell_length_c 17.0728
_cell_angle_alpha 90.00
_cell_angle_beta 90.00
_cell_angle_gamma 120.00
loop_
_atom_site_label
_atom_site_type_symbol
_atom_site_fract_x
_atom_site_fract_y
_atom_site_fract_z
_atom_site_occupancy
Ga1 Ga 0.0000 0.0000 0.0000 1
Ag1 Ag 0.0000 0.0000 0.5000 1
N1 N 0.0000 0.0000 0.1063 1
```

# 4
The following is a PBE calculation of a relaxed Tl2In3Sn5 crystal, from Alexandria via LeMat-Bulk.

The calculated volume is 1138.4 Å³ per cell. As for the energy of formation from the pure elements: 0.03 eV per atom. For the energy, the calculation gives -3.263 eV per atom. Its energy above the most stable polymorph in this dataset is 0.000 eV per atom. The value obtained for the density of states at the Fermi level is 18.1 states/eV per cell.

Structure (CIF):
```
data_Tl2In3Sn5
_chemical_formula_sum 'Tl8 In12 Sn20'
_symmetry_space_group_name_H-M 'C 1 2/c 1'
_symmetry_Int_Tables_number 15
_symmetry_space_group_name_Hall '-C 2yc'
_cell_length_a 11.6137
_cell_length_b 15.6278
_cell_length_c 6.2725
_cell_angle_alpha 90.00
_cell_angle_beta 90.24
_cell_angle_gamma 90.00
loop_
_atom_site_label
_atom_site_type_symbol
_atom_site_fract_x
_atom_site_fract_y
_atom_site_fract_z
_atom_site_occupancy
Tl1 Tl 0.1271 0.2473 0.1306 1
In1 In 0.0000 0.4551 0.2500 1
In2 In 0.1276 0.1480 0.6280 1
Sn1 Sn 0.0000 0.0421 0.2500 1
Sn2 Sn 0.1221 0.3576 0.6283 1
Sn3 Sn 0.2488 0.0395 0.0019 1
```